# 1
The following is a DFT calculation (PBE) of a relaxed structure of PrNdPt.

Summary:
DFT formation energy: -0.726 eV per atom
Total magnetic moment: 0.0 Bohr magnetons per cell
SG: No. 190
D(E_F): 21.17 states/eV/cell
Distance to the lowest polymorph of the same formula: 46 meV/atom
VASP energy: -106.59 eV/cell

Cell: 7.722 7.722 9.734 Å, 90.00 90.00 120.00°
Fractional positions:
1 Pr 0.000 0.263 0.000
2 Pr 0.000 0.263 0.500
3 Pr 0.263 0.000 0.000
4 Pr 0.263 0.000 0.500
5 Pr 0.737 0.737 0.000
6 Pr 0.737 0.737 0.500
7 Nd 0.001 0.595 0.250
8 Nd 0.405 0.406 0.250
9 Nd 0.406 0.405 0.750
10 Nd 0.594 0.999 0.250
11 Nd 0.595 0.001 0.750
12 Nd 0.999 0.594 0.750
13 Pt 0.000 0.000 0.250
14 Pt 0.000 0.000 0.750
15 Pt 0.333 0.667 0.002
16 Pt 0.333 0.667 0.498
17 Pt 0.667 0.333 0.502
18 Pt 0.667 0.333 0.998



# 2
The following is a DFT calculation (PBE) of a relaxed structure of Pr5HgAu2.

Summary:
DFT formation energy: -0.228 eV per atom
Total magnetic moment: 0.0 Bohr magnetons per cell
SG: No. 63
D(E_F): 14.70 states/eV/cell
Distance to the lowest polymorph of the same formula: 267 meV/atom
VASP energy: -65.16 eV/cell

Cell: 8.069 8.069 12.492 Å, 90.00 90.00 138.29°
Fractional positions:
1 Pr 0.023 0.977 0.626
2 Pr 0.023 0.977 0.874
3 Pr 0.233 0.767 0.250
4 Pr 0.375 0.625 0.576
5 Pr 0.375 0.625 0.924
6 Pr 0.625 0.375 0.076
7 Pr 0.625 0.375 0.424
8 Pr 0.767 0.233 0.750
9 Pr 0.977 0.023 0.126
10 Pr 0.977 0.023 0.374
11 Hg 0.207 0.793 0.750
12 Hg 0.793 0.207 0.250
13 Au 0.186 0.814 0.013
14 Au 0.186 0.814 0.487
15 Au 0.814 0.186 0.513
16 Au 0.814 0.186 0.987



# 3
The following is a DFT calculation (PBE) of a relaxed structure of PrSm6YHo2.

Summary:
DFT formation energy: 0.118 eV per atom
Total magnetic moment: 0.0 Bohr magnetons per cell
SG: No. 15
D(E_F): 29.96 states/eV/cell
VASP energy: -95.07 eV/cell

Cell: 8.914 8.914 9.722 Å, 94.06 94.06 117.93°
Fractional positions:
1 Pr 0.094 0.906 0.750
2 Pr 0.906 0.094 0.250
3 Sm 0.004 0.792 0.379
4 Sm 0.069 0.522 0.183
5 Sm 0.208 0.996 0.121
6 Sm 0.256 0.617 0.555
7 Sm 0.383 0.744 0.945
8 Sm 0.478 0.931 0.317
9 Sm 0.522 0.069 0.683
10 Sm 0.617 0.256 0.055
11 Sm 0.744 0.383 0.445
12 Sm 0.792 0.004 0.879
13 Sm 0.931 0.478 0.817
14 Sm 0.996 0.208 0.621
15 Y 0.474 0.526 0.250
16 Y 0.526 0.474 0.750
17 Ho 0.203 0.306 0.956
18 Ho 0.306 0.203 0.456
19 Ho 0.694 0.797 0.544
20 Ho 0.797 0.694 0.044



# 4
The following is a DFT calculation (PBE) of a relaxed structure of SrMoPd.

Summary:
DFT formation energy: 0.149 eV per atom
Total magnetic moment: 0.0 Bohr magnetons per cell
SG: No. 46
D(E_F): 0.43 states/eV/cell
Distance to the lowest polymorph of the same formula: 84 meV/atom
VASP energy: -34.52 eV/cell

Cell: 6.025 6.025 6.025 Å, 138.14 93.25 101.46°
Fractional positions:
1 Sr 0.179 0.250 0.429
2 Sr 0.821 0.750 0.571
3 Mo 0.575 0.906 0.169
4 Mo 0.737 0.406 0.831
5 Pd 0.199 0.562 0.137
6 Pd 0.426 0.062 0.863